Record 1
Computed, not measured: a relaxed structure of HgTeH6N2 at the PBE-GGA level of DFT.

Properties
total energy = -4.27 eV/atom
space-group type = C2/c, No. 15
total magnetic moment = 0.00 μB per formula unit

Structure (CIF):
```
data_HgTeH6N2
_chemical_formula_sum 'Hg2 Te2 H12 N4'
_cell_length_a 9.342
_cell_length_b 9.342
_cell_length_c 4.412
_cell_angle_alpha 97.65
_cell_angle_beta 97.65
_cell_angle_gamma 55.28
_space_group_name_H-M_alt 'P 1'
_space_group_IT_number 1
_space_group_name_Hall 'P 1'
loop_
_atom_site_label
_atom_site_type_symbol
_atom_site_fract_x
_atom_site_fract_y
_atom_site_fract_z
_atom_site_occupancy
H1 H 0.055 0.624 0.760 1
H2 H 0.237 0.153 0.851 1
H3 H 0.847 0.763 0.649 1
H4 H 0.624 0.055 0.260 1
H5 H 0.914 0.575 0.781 1
H6 H 0.945 0.376 0.240 1
H7 H 0.086 0.425 0.219 1
H8 H 0.153 0.237 0.351 1
H9 H 0.425 0.086 0.719 1
H10 H 0.376 0.945 0.740 1
H11 H 0.575 0.914 0.281 1
H12 H 0.763 0.847 0.149 1
Te1 Te 0.608 0.392 0.250 1
Te2 Te 0.392 0.608 0.750 1
N1 N 0.324 0.070 0.688 1
N2 N 0.930 0.676 0.812 1
N3 N 0.070 0.324 0.188 1
N4 N 0.676 0.930 0.312 1
Hg1 Hg 0.875 0.125 0.750 1
Hg2 Hg 0.125 0.875 0.250 1
```


Record 2
Computed, not measured: a relaxed structure of Ti6Hg2HN at the PBE-GGA level of DFT.

Properties
total energy = -6.47 eV/atom
space-group type = I4/mmm, No. 139
total magnetic moment = 0.00 μB per formula unit

Structure (CIF):
```
data_Ti6Hg2HN
_chemical_formula_sum 'Ti12 Hg4 H2 N2'
_cell_length_a 5.904
_cell_length_b 5.904
_cell_length_c 8.321
_cell_angle_alpha 90.00
_cell_angle_beta 90.00
_cell_angle_gamma 90.00
_space_group_name_H-M_alt 'P 1'
_space_group_IT_number 1
_space_group_name_Hall 'P 1'
loop_
_atom_site_label
_atom_site_type_symbol
_atom_site_fract_x
_atom_site_fract_y
_atom_site_fract_z
_atom_site_occupancy
Ti1 Ti 0.248 0.502 0.500 1
Ti2 Ti 0.748 0.498 0.000 1
Ti3 Ti 0.752 0.502 0.500 1
Ti4 Ti 0.000 0.750 0.253 1
Ti5 Ti 0.252 0.002 0.000 1
Ti6 Ti 0.252 0.498 0.000 1
Ti7 Ti 0.748 0.002 0.000 1
Ti8 Ti 0.500 0.250 0.247 1
Ti9 Ti 0.752 0.998 0.500 1
Ti10 Ti 0.248 0.998 0.500 1
Ti11 Ti 0.000 0.750 0.747 1
Ti12 Ti 0.500 0.250 0.753 1
H1 H 0.000 0.750 0.500 1
H2 H 0.500 0.250 0.000 1
N1 N 0.000 0.750 0.000 1
N2 N 0.500 0.250 0.500 1
Hg1 Hg 0.500 0.750 0.250 1
Hg2 Hg 0.000 0.250 0.750 1
Hg3 Hg 0.500 0.750 0.750 1
Hg4 Hg 0.000 0.250 0.250 1
```


Record 3
Computed, not measured: a relaxed structure of YHgHN2 at the PBE-GGA level of DFT.

Properties
total energy = -4.83 eV/atom
space-group type = P4/mmm, No. 123
total magnetic moment = 0.00 μB per formula unit

Structure (CIF):
```
data_YHgHN2
_chemical_formula_sum 'Y1 Hg1 H1 N2'
_cell_length_a 4.328
_cell_length_b 4.328
_cell_length_c 3.479
_cell_angle_alpha 90.00
_cell_angle_beta 90.00
_cell_angle_gamma 90.00
_space_group_name_H-M_alt 'P 1'
_space_group_IT_number 1
_space_group_name_Hall 'P 1'
loop_
_atom_site_label
_atom_site_type_symbol
_atom_site_fract_x
_atom_site_fract_y
_atom_site_fract_z
_atom_site_occupancy
N1 N 0.000 0.500 0.000 1
N2 N 0.500 0.000 0.000 1
H1 H 0.000 0.000 0.500 1
Hg1 Hg 0.000 0.000 0.000 1
Y1 Y 0.500 0.500 0.500 1
```


Record 4
Computed, not measured: a relaxed structure of Zr3HgHN at the PBE-GGA level of DFT.

Properties
total energy = -7.01 eV/atom
space-group type = P2_1/m, No. 11
total magnetic moment = 0.00 μB per formula unit

Structure (CIF):
```
data_Zr3HgHN
_chemical_formula_sum 'Zr6 Hg2 H2 N2'
_cell_length_a 3.323
_cell_length_b 6.460
_cell_length_c 9.416
_cell_angle_alpha 110.07
_cell_angle_beta 90.00
_cell_angle_gamma 90.00
_space_group_name_H-M_alt 'P 1'
_space_group_IT_number 1
_space_group_name_Hall 'P 1'
loop_
_atom_site_label
_atom_site_type_symbol
_atom_site_fract_x
_atom_site_fract_y
_atom_site_fract_z
_atom_site_occupancy
Zr1 Zr 0.250 0.804 0.394 1
Zr2 Zr 0.750 0.196 0.606 1
Zr3 Zr 0.250 0.550 0.874 1
Zr4 Zr 0.750 0.937 0.140 1
Zr5 Zr 0.750 0.450 0.126 1
Zr6 Zr 0.250 0.063 0.860 1
N1 N 0.250 0.692 0.133 1
N2 N 0.750 0.308 0.867 1
Hg1 Hg 0.250 0.321 0.365 1
Hg2 Hg 0.750 0.679 0.635 1
H1 H 0.250 0.029 0.624 1
H2 H 0.750 0.971 0.376 1
```


Record 5
Computed, not measured: a relaxed structure of NaHg2H2 at the PBE-GGA level of DFT.

Properties
total energy = -1.49 eV/atom
space-group type = I4/mmm, No. 139
ΔE to the lowest computed polymorph = 204 meV per atom
total magnetic moment = 0.00 μB per formula unit

Structure (CIF):
```
data_NaHg2H2
_chemical_formula_sum 'Na1 Hg2 H2'
_cell_length_a 3.971
_cell_length_b 3.971
_cell_length_c 6.056
_cell_angle_alpha 70.86
_cell_angle_beta 70.86
_cell_angle_gamma 90.00
_space_group_name_H-M_alt 'P 1'
_space_group_IT_number 1
_space_group_name_Hall 'P 1'
loop_
_atom_site_label
_atom_site_type_symbol
_atom_site_fract_x
_atom_site_fract_y
_atom_site_fract_z
_atom_site_occupancy
H1 H 0.750 0.250 0.500 1
H2 H 0.250 0.750 0.500 1
Na1 Na 0.000 0.000 0.000 1
Hg1 Hg 0.354 0.354 0.292 1
Hg2 Hg 0.646 0.646 0.708 1
```


Record 6
Computed, not measured: a relaxed structure of Na2HgH4 at the PBE-GGA level of DFT.

Properties
total energy = -2.37 eV/atom
space-group type = Cmcm, No. 63
total magnetic moment = 0.00 μB per formula unit

Structure (CIF):
```
data_Na2HgH4
_chemical_formula_sum 'Na4 Hg2 H8'
_cell_length_a 5.550
_cell_length_b 5.550
_cell_length_c 7.218
_cell_angle_alpha 90.00
_cell_angle_beta 90.00
_cell_angle_gamma 116.48
_space_group_name_H-M_alt 'P 1'
_space_group_IT_number 1
_space_group_name_Hall 'P 1'
loop_
_atom_site_label
_atom_site_type_symbol
_atom_site_fract_x
_atom_site_fract_y
_atom_site_fract_z
_atom_site_occupancy
Na1 Na 0.823 0.177 0.250 1
Na2 Na 0.177 0.823 0.750 1
Na3 Na 0.500 0.500 0.500 1
Na4 Na 0.500 0.500 0.000 1
H1 H 0.259 0.741 0.454 1
H2 H 0.214 0.281 0.750 1
H3 H 0.259 0.741 0.046 1
H4 H 0.719 0.786 0.750 1
H5 H 0.786 0.719 0.250 1
H6 H 0.741 0.259 0.546 1
H7 H 0.741 0.259 0.954 1
H8 H 0.281 0.214 0.250 1
Hg1 Hg 0.153 0.847 0.250 1
Hg2 Hg 0.847 0.153 0.750 1
```